No. 1
Here is a relaxed Pu3NbN6 crystal from Alexandria via LeMat-Bulk. Energies are from PBE-GGA.

Geometry as POSCAR:
```
Pu3NbN6
1.0
5.5152 0.0000 0.0000
0.0000 6.9321 -1.4678
0.0000 0.1161 7.0848
Nb N Pu
2 12 6
Direct
0.9917 0.1604 0.8396
0.4917 0.8396 0.1604
0.6638 0.5956 0.0930
0.7010 0.3348 0.3532
0.7010 0.6468 0.6652
0.2567 0.0206 0.9794
0.1638 0.4044 0.9070
0.6399 0.2203 0.7797
0.1638 0.0930 0.5956
0.7567 0.9794 0.0206
0.2010 0.3532 0.3348
0.6638 0.9070 0.4044
0.2010 0.6652 0.6468
0.1399 0.7797 0.2203
0.9701 0.0911 0.3137
0.4701 0.3137 0.0911
0.9701 0.6863 0.9089
0.4272 0.3939 0.6061
0.4701 0.9089 0.6863
0.9272 0.6061 0.3939
```

Values from the calculation:
ΔE to the lowest computed polymorph: 0.000 eV per atom
DFT total energy: -11.38 eV/atom
total magnetic moment: 11.000 μB/f.u.
formation energy from raw total energies: -10.74 eV/f.u.
symmetry: Cmc2_1 (36)

***

No. 2
Here is a relaxed RbAg2Pd2 crystal from Alexandria via LeMat-Bulk. Energies are from PBE-GGA.

Geometry as POSCAR:
```
RbAg2Pd2
1.0
8.4673 0.0000 0.0000
0.0000 8.4673 0.0000
0.0000 0.0000 2.9097
Pd Ag Rb
4 4 2
Direct
0.3323 0.1677 0.5000
0.1677 0.6677 0.5000
0.6677 0.8323 0.5000
0.8323 0.3323 0.5000
0.8765 0.6235 0.0000
0.6235 0.1235 0.0000
0.1235 0.3765 0.0000
0.3765 0.8765 0.0000
0.0000 0.0000 0.0000
0.5000 0.5000 0.0000
```

Values from the calculation:
ΔE to the lowest computed polymorph: 0.013 eV per atom
DFT total energy: -3.32 eV/atom
energy relative to the elements: 95.6 meV per atom
total magnetic moment: 0.000 μB/f.u.
symmetry: P4/mbm (127)

***

No. 3
Here is a relaxed LiAc3Pb2N crystal from Alexandria via LeMat-Bulk. Energies are from PBE-GGA.

Geometry as POSCAR:
```
LiAc3Pb2N
1.0
4.7034 0.0000 0.0000
0.0000 5.2907 0.0000
-2.3517 -2.6453 8.7357
Ac Pb N Li
3 2 1 1
Direct
0.1498 0.1498 0.2996
0.0000 0.5000 0.0000
0.8502 0.8502 0.7004
0.3545 0.3545 0.7090
0.6455 0.6455 0.2910
0.0000 0.0000 0.0000
0.5000 0.0000 0.0000
```

Values from the calculation:
DFT total energy: -4.91 eV/atom
total magnetic moment: 0.000 μB/f.u.
formation energy from raw total energies: -4.36 eV/f.u.
symmetry: Immm (71)

***

No. 4
Here is a relaxed Fe3CoMo crystal from Alexandria via LeMat-Bulk. Energies are from PBE-GGA.

Geometry as POSCAR:
```
Fe3CoMo
1.0
-0.3186 -3.3100 2.3799
3.7560 -1.1665 -1.1196
1.5852 2.0988 3.1312
Fe Co Mo
3 1 1
Direct
0.0000 0.0000 0.5000
0.5000 0.0000 0.0000
0.0000 0.5000 0.0000
0.0000 0.0000 0.0000
0.5000 0.5000 0.5000
```

Values from the calculation:
ΔE to the lowest computed polymorph: 0.000 eV per atom
DFT total energy: -7.20 eV/atom
energy relative to the elements: 1466.8 meV per atom
total magnetic moment: 0.007 μB/f.u.
symmetry: Pm-3m (221)

***

No. 5
Here is a relaxed LaF5 crystal from Alexandria via LeMat-Bulk. Energies are from PBE-GGA.

Geometry as POSCAR:
```
LaF5
1.0
3.8496 -0.0010 -0.2101
0.0032 4.7653 0.0250
0.3713 0.0587 6.1257
F La
5 1
Direct
0.5574 0.5019 0.3961
0.0554 0.0004 0.6096
0.0556 0.9983 0.9890
0.0563 0.0002 0.2284
0.5533 0.4988 0.8305
0.0553 0.5004 0.6132
```

Values from the calculation:
ΔE to the lowest computed polymorph: 0.000 eV per atom
DFT total energy: -5.06 eV/atom
total magnetic moment: 0.089 μB/f.u.
formation energy from raw total energies: -16.08 eV/f.u.
symmetry: P1 (1)

***

No. 6
Here is a relaxed HfPa2S6 crystal from Alexandria via LeMat-Bulk. Energies are from PBE-GGA.

Geometry as POSCAR:
```
HfPa2S6
1.0
-2.4711 -4.8972 -3.1122
5.8021 -2.1232 -1.2659
-0.1205 -6.2532 9.9353
S Hf Pa
12 2 4
Direct
0.1953 0.8047 0.1571
0.7068 0.7068 0.0000
0.7932 0.2068 0.5000
0.8047 0.1953 0.1571
0.3047 0.3047 0.6571
0.3047 0.3047 0.3429
0.1953 0.8047 0.8429
0.6953 0.6953 0.3429
0.6953 0.6953 0.6571
0.2932 0.2932 0.0000
0.8047 0.1953 0.8429
0.2068 0.7932 0.5000
0.5000 0.5000 0.5000
0.0000 0.0000 0.0000
0.0000 0.0000 0.3319
0.5000 0.5000 0.8319
0.0000 0.0000 0.6681
0.5000 0.5000 0.1681
```

Values from the calculation:
ΔE to the lowest computed polymorph: 0.107 eV per atom
DFT total energy: -7.44 eV/atom
total magnetic moment: 2.087 μB/f.u.
formation energy from raw total energies: -13.26 eV/f.u.
symmetry: P4_2/mnm (136)

***

No. 7
Here is a relaxed PuPa2Au6 crystal from Alexandria via LeMat-Bulk. Energies are from PBE-GGA.

Geometry as POSCAR:
```
PuPa2Au6
1.0
3.1389 0.0000 0.0000
0.0000 7.2651 -4.1945
0.0000 0.0000 8.3891
Pa Pu Au
2 1 6
Direct
0.0000 0.3333 0.6667
0.0000 0.6667 0.3333
0.0000 0.0000 0.0000
0.5000 0.6661 0.6662
0.5000 0.3338 0.0000
0.5000 0.6661 0.0000
0.5000 0.0000 0.6661
0.5000 0.0000 0.3338
0.5000 0.3339 0.3338
```

Values from the calculation:
DFT total energy: -6.36 eV/atom
energy relative to the elements: -474.8 meV per atom
total magnetic moment: 2.988 μB/f.u.
symmetry: P6/mmm (191)

***

No. 8
Here is a relaxed TbCeSm crystal from Alexandria via LeMat-Bulk. Energies are from PBE-GGA.

Geometry as POSCAR:
```
TbCeSm
1.0
-2.7205 -0.9332 2.0734
2.2322 -0.4804 2.7125
-0.6716 7.8694 -0.3709
Tb Ce Sm
1 1 1
Direct
0.9936 0.9936 0.9872
0.3342 0.3342 0.6684
0.6722 0.6722 0.3445
```

Values from the calculation:
ΔE to the lowest computed polymorph: 0.003 eV per atom
DFT total energy: -5.02 eV/atom
energy relative to the elements: 73.7 meV per atom
total magnetic moment: 0.267 μB/f.u.
symmetry: I4mm (107)

***

No. 9
Here is a relaxed Th2Ga3NiPt12 crystal from Alexandria via LeMat-Bulk. Energies are from PBE-GGA.

Geometry as POSCAR:
```
Th2Ga3NiPt12
1.0
7.9985 0.0045 0.0032
3.9540 6.9528 0.0032
3.9540 2.3015 6.5608
Ga Pt Th Ni
3 12 2 1
Direct
0.0000 0.5000 0.0000
0.5000 0.0000 0.0000
0.0000 0.0000 0.5000
0.1332 0.6194 0.6194
0.1252 0.1252 0.6281
0.3806 0.8668 0.3806
0.1252 0.6281 0.1252
0.8748 0.3719 0.8748
0.6194 0.1332 0.6194
0.8748 0.8748 0.3719
0.3806 0.3806 0.8668
0.6194 0.6194 0.1332
0.8668 0.3806 0.3806
0.6281 0.1252 0.1252
0.3719 0.8748 0.8748
0.6314 0.6314 0.6314
0.3686 0.3686 0.3686
0.0000 0.0000 0.0000
```

Values from the calculation:
DFT total energy: -6.12 eV/atom
energy relative to the elements: -442.2 meV per atom
total magnetic moment: 0.002 μB/f.u.
symmetry: R-3m (166)

***

No. 10
Here is a relaxed Dy4ErMg crystal from Alexandria via LeMat-Bulk. Energies are from PBE-GGA.

Geometry as POSCAR:
```
Dy4ErMg
1.0
3.5424 0.0000 0.0000
0.0000 3.5424 0.0000
0.0000 0.0000 14.3400
Dy Mg Er
4 1 1
Direct
0.0000 0.0000 0.6546
0.0000 0.0000 0.3454
0.5000 0.5000 0.8260
0.5000 0.5000 0.1740
0.5000 0.5000 0.5000
0.0000 0.0000 0.0000
```

Values from the calculation:
ΔE to the lowest computed polymorph: 0.000 eV per atom
DFT total energy: -4.11 eV/atom
energy relative to the elements: -12.6 meV per atom
total magnetic moment: 0.000 μB/f.u.
symmetry: P4/mmm (123)

***

No. 11
Here is a relaxed LiDyBi2S5 crystal from Alexandria via LeMat-Bulk. Energies are from PBE-GGA.

Geometry as POSCAR:
```
LiDyBi2S5
1.0
3.9907 0.0000 0.0000
-1.9953 8.8606 0.0000
0.0000 0.0000 12.9019
S Li Bi Dy
10 2 4 2
Direct
0.9401 0.8803 0.5502
0.4998 0.9996 0.7965
0.2925 0.5849 0.6456
0.7075 0.4151 0.1456
0.6393 0.2787 0.5513
0.5002 0.0004 0.2965
0.2917 0.5835 0.3534
0.7083 0.4165 0.8534
0.0599 0.1197 0.0502
0.3607 0.7213 0.0513
0.5041 0.0082 0.4921
0.4959 0.9918 0.9921
0.9060 0.8119 0.7443
0.1502 0.3004 0.6964
0.0940 0.1881 0.2443
0.8498 0.6996 0.1964
0.7913 0.5826 0.4942
0.2087 0.4174 0.9942
```

Values from the calculation:
DFT total energy: -4.85 eV/atom
total magnetic moment: 0.000 μB/f.u.
formation energy from raw total energies: -8.75 eV/f.u.
symmetry: Cmc2_1 (36)

***

No. 12
Here is a relaxed TlAg crystal from Alexandria via LeMat-Bulk. Energies are from PBE-GGA.

Geometry as POSCAR:
```
TlAg
1.0
3.9661 0.0000 0.0000
0.0000 3.9661 0.0000
0.0000 0.0000 6.6172
Ag Tl
2 2
Direct
0.2500 0.7500 0.0000
0.7500 0.2500 0.0000
0.2500 0.2500 0.3611
0.7500 0.7500 0.6389
```

Values from the calculation:
DFT total energy: -2.44 eV/atom
energy relative to the elements: 172.9 meV per atom
total magnetic moment: 0.000 μB/f.u.
symmetry: P4/nmm (129)

***

DFT total energy of number 12 (TlAg)?
-2.44 eV/atom

***

Which of these has the lowest DFT total energy?
Pu3NbN6